4
Lattice="6.177 -0.042 0.012 2.442 5.674 -0.012 -3.335 -4.308 2.912" Properties=species:S:1:pos:R:3 comment="BaZr2Fe (PBE-GGA, relaxed)" formation_enthalpy_0k_kj_per_mol_atoms=46.7 volume_a3_per_cell=102.1 relative_energy_mev_per_atom=230.0 pbc="T T T"
Ba 3.576 -0.767 1.462
Fe 1.708 2.091 1.450
Zr 0.596 0.390 0.000
Zr 3.713 2.426 0.000